Compound: K2SrSc
Source: Alexandria
Functional: PBE
Structure: optimized geometry

Calculated values
Magnetic moment in μB/cell: 1.36
Energy in eV/atom: -2.0730
Distance to the lowest polymorph of the same formula in eV per atom: 0.125
V in Å³/cell: 193.3
ΔH_f (0 K) in eV per atom: 0.479

Lattice parameters (Å, degrees): 14.620 14.620 14.620 15.45 15.45 15.45
Last column: magnetic moment on the atom in μB.
Fractional positions:
1 K 0.994 0.994 0.994  0.01
2 K 0.506 0.506 0.506  0.01
3 Sc 0.250 0.250 0.250  0.65
4 Sr 0.750 0.750 0.750  0.00



Compound: ZnTcAs
Source: Alexandria
Functional: PBE
Structure: optimized geometry

Calculated values
Magnetic moment in μB/cell: 0.00
Energy in eV/atom: -5.1473
Distance to the lowest polymorph of the same formula in eV per atom: 0.409
V in Å³/cell: 50.1
ΔH_f (0 K) in eV per atom: 0.283

Lattice parameters (Å, degrees): 4.139 4.139 4.139 60.00 60.00 60.00
Fractional positions:
1 As 0.750 0.750 0.750
2 Tc 0.000 0.000 0.000
3 Zn 0.500 0.500 0.500



Compound: SiHgSb2
Source: Alexandria
Functional: PBE
Structure: optimized geometry

Calculated values
Magnetic moment in μB/cell: 0.00
Energy in eV/atom: -3.2142
V in Å³/cell: 100.0

Lattice parameters (Å, degrees): 4.049 7.119 5.823 36.58 90.00 90.00
Fractional positions:
1 Hg 0.000 0.000 0.500
2 Sb 0.000 0.000 0.000
3 Sb 0.500 0.500 0.000
4 Si 0.500 0.500 0.500



Compound: Li3AgAu6
Source: Alexandria
Functional: PBE
Structure: optimized geometry

Calculated values
Magnetic moment in μB/cell: 0.00
Energy in eV/atom: -3.0558
Distance to the lowest polymorph of the same formula in eV per atom: 0.130
V in Å³/cell: 195.6
ΔH_f (0 K) in eV per atom: -0.230

Lattice parameters (Å, degrees): 9.213 6.529 6.529 49.85 46.53 46.53
Fractional positions:
1 Li 0.289 0.229 0.229
2 Li 0.711 0.771 0.771
3 Li 0.000 0.000 0.000
4 Ag 0.500 0.500 0.500
5 Au 0.313 0.176 0.679
6 Au 0.687 0.321 0.824
7 Au 0.687 0.824 0.321
8 Au 0.313 0.679 0.176
9 Au 0.028 0.751 0.751
10 Au 0.972 0.249 0.249



Question: Which of these has the highest energy?
Answer: K2SrSc